The following is a DFT calculation (PBE) of a relaxed K3SeS crystal.

## Properties
Calculated total energy   -3.1995 eV per atom
Relative energy among the computed polymorphs   0.00 eV/f.u.
Total moment   0.0 μB/f.u.
DOS(E_F)   0.00 states/eV per atom
Uncorrected formation energy   -1.019 eV per atom

a = 5.6773 Å, b = 7.8407 Å, c = 9.2501 Å
α = 109.89°, β = 105.40°, γ = 94.01°
Closest atoms and distances in Å follow each position.
Space group P-1 (No. 2)
One atom of each set of equivalent atoms:
K 0.0658 0.2332 0.4877 (multiplicity 2)  3 S 3.11-3.29, 2 Se 3.29-3.46
K 0.3195 0.5556 0.1746 (multiplicity 2)  2 S 3.25-3.30, 3 Se 3.33-3.59
K 0.3272 0.0187 0.1359 (multiplicity 2)  1 S 3.14, 3 Se 3.26-3.36
Se 0.1733 0.1811 0.8368 (multiplicity 2)  8 K 3.26-3.59
S 0.4316 0.6173 0.5595 (multiplicity 2)  1 S 2.11